Density functional theory data (GGA-PBE) for a relaxed K3PaTe6Pb2 crystal.

Properties
Size of the total moment = 0.00 μB/cell
Formation energy (no corrections) = -10.426 eV/f.u.
VASP energy = -4.12 eV per atom

a b c (Å): 8.0900 8.0900 8.5447
angles (deg): 99.11 99.11 119.98
Last column: nearest neighbours and their distance in Å.
Sites, in units of the cell vectors:
Te 0.6193 0.9300 0.7894  1 Pa 3.04, 2 Pb 3.28-3.29
Te 0.3807 0.0700 0.2106  1 Pa 3.04, 2 Pb 3.28-3.29
Te 0.9300 0.6193 0.7894  1 Pa 3.04, 2 Pb 3.28-3.29
Te 0.2381 0.2381 0.7877  1 Pa 3.04, 2 Pb 3.27
Te 0.7619 0.7619 0.2123  1 Pa 3.04, 2 Pb 3.27
Te 0.0700 0.3807 0.2106  1 Pa 3.04, 2 Pb 3.28-3.29
K 0.8257 0.1743 0.5000  6 Te 3.52-3.64
K 0.5000 0.5000 0.5000  6 Te 3.51-3.72
K 0.1743 0.8257 0.5000  6 Te 3.52-3.64
Pb 0.6652 0.3348 0.0000  6 Te 3.27-3.29
Pb 0.3348 0.6652 0.0000  6 Te 3.27-3.29
Pa 0.0000 0.0000 0.0000  6 Te 3.04